# 1
A plane-wave DFT calculation with PBE was carried out for an optimized crystal structure of TbCdPt2.

Formation energy (eV/atom): -0.83
Electronic total energy (eV per atom): -5.24
SG: P4/mmm (123)
Fermi-level density of states (states/eV/f.u.): 0.98

Cell and atoms, written as POSCAR:
```
TbCdPt2
1.0
3.598 0.000 0.000
0.000 3.598 0.000
0.000 0.000 6.042
Pt Cd Tb
2 1 1
direct
0.000 0.000 0.759
0.000 0.000 0.241
0.500 0.500 0.000
0.500 0.500 0.500
```

=====

# 2
A plane-wave DFT calculation with PBE was carried out for an optimized crystal structure of Tb5CdPt2.

Formation energy (eV/atom): -0.75
Electronic total energy (eV per atom): -5.27
SG: I4/mcm (140)
Fermi-level density of states (states/eV/f.u.): 8.82

Cell and atoms, written as POSCAR:
```
Tb5CdPt2
1.0
7.171 0.000 -3.385
-1.598 6.990 -3.385
-0.272 -0.342 8.711
Cd Tb Pt
2 10 4
direct
0.250 0.250 0.500
0.750 0.750 0.500
0.704 0.204 0.727
0.523 0.704 0.727
0.977 0.477 0.273
0.000 0.000 0.000
0.296 0.796 0.273
0.796 0.977 0.273
0.477 0.296 0.273
0.023 0.523 0.727
0.204 0.023 0.727
0.500 0.500 0.000
0.636 0.136 0.000
0.136 0.364 0.000
0.364 0.864 0.000
0.864 0.636 0.000
```

=====

# 3
A plane-wave DFT calculation with PBE was carried out for an optimized crystal structure of Tb3CdPt2.

Formation energy (eV/atom): -0.90
Electronic total energy (eV per atom): -5.38
SG: Cmmm (65)
Fermi-level density of states (states/eV/f.u.): 4.18

Cell and atoms, written as POSCAR:
```
Tb3CdPt2
1.0
-3.373 -0.760 -1.029
1.673 -4.135 -2.431
-1.823 -1.995 7.447
Pt Cd Tb
2 1 3
direct
0.000 0.657 0.315
0.000 0.343 0.685
0.000 0.000 0.000
0.500 0.500 0.000
0.500 0.178 0.355
0.500 0.822 0.645
```

=====

# 4
A plane-wave DFT calculation with PBE was carried out for an optimized crystal structure of Tb6Cd3Pt.

Formation energy (eV/atom): -0.41
Electronic total energy (eV per atom): -4.06
SG: P2_1/m (11)
Fermi-level density of states (states/eV/f.u.): 9.63

Cell and atoms, written as POSCAR:
```
Tb6Cd3Pt
1.0
-0.066 1.818 -4.970
-9.010 -1.413 -0.396
1.992 10.761 3.909
Tb Cd Pt
12 6 2
direct
0.750 0.771 0.502
0.250 0.229 0.498
0.250 0.468 0.085
0.750 0.532 0.915
0.750 0.327 0.333
0.250 0.101 0.860
0.250 0.857 0.332
0.250 0.133 0.154
0.750 0.867 0.846
0.750 0.143 0.668
0.250 0.673 0.667
0.750 0.899 0.140
0.250 0.519 0.371
0.250 0.772 0.974
0.750 0.228 0.026
0.750 0.597 0.217
0.250 0.403 0.783
0.750 0.481 0.629
0.750 0.052 0.400
0.250 0.948 0.600
```

=====

# 5
A plane-wave DFT calculation with PBE was carried out for an optimized crystal structure of Tb2CdPt9.

Formation energy (eV/atom): -0.73
Excess energy over the best structure of this formula in the dataset (eV/atom): 0.000
Electronic total energy (eV per atom): -6.11
SG: P4/mmm (123)
Fermi-level density of states (states/eV/f.u.): 12.69

Cell and atoms, written as POSCAR:
```
Tb2CdPt9
1.0
-3.384 -0.746 -2.207
2.298 -0.433 -3.377
1.137 -11.994 2.312
Pt Tb Cd
9 2 1
direct
0.500 0.500 0.669
0.000 0.500 0.162
0.500 0.000 0.162
0.500 0.000 0.500
0.500 0.500 0.000
0.500 0.000 0.838
0.000 0.500 0.500
0.500 0.500 0.331
0.000 0.500 0.838
0.000 0.000 0.670
0.000 0.000 0.330
0.000 0.000 0.000
```

=====

# 6
A plane-wave DFT calculation with PBE was carried out for an optimized crystal structure of Tb2CdPt.

Formation energy (eV/atom): -0.67
Excess energy over the best structure of this formula in the dataset (eV/atom): 0.110
Electronic total energy (eV per atom): -4.72
SG: R-3m (166)
Fermi-level density of states (states/eV/f.u.): 3.37

Cell and atoms, written as POSCAR:
```
Tb2CdPt
1.0
-2.008 3.386 0.960
-3.968 -0.157 0.806
-0.406 -0.130 8.163
Pt Tb Cd
1 2 1
direct
0.000 0.000 0.000
0.266 0.266 0.201
0.734 0.734 0.799
0.500 0.500 0.500
```

=====

# 7
A plane-wave DFT calculation with PBE was carried out for an optimized crystal structure of TbCdPt2.

Formation energy (eV/atom): -0.80
Electronic total energy (eV per atom): -5.20
SG: P4/mmm (123)
Fermi-level density of states (states/eV/f.u.): 0.88

Cell and atoms, written as POSCAR:
```
TbCdPt2
1.0
3.639 0.000 0.000
0.000 4.636 0.000
0.000 0.000 4.636
Pt Tb Cd
2 1 1
direct
0.000 0.000 0.500
0.000 0.500 0.000
0.500 0.000 0.000
0.500 0.500 0.500
```

=====

# 8
A plane-wave DFT calculation with PBE was carried out for an optimized crystal structure of Tb6Cd2Pt.

Formation energy (eV/atom): -0.32
Electronic total energy (eV per atom): -4.28
SG: P2_1/c (14)
Fermi-level density of states (states/eV/f.u.): 11.06

Cell and atoms, written as POSCAR:
```
Tb6Cd2Pt
1.0
-0.860 -6.045 -0.467
6.901 -0.534 -5.802
5.805 -2.044 7.092
Cd Tb Pt
4 12 2
direct
0.899 0.382 0.754
0.101 0.618 0.246
0.601 0.882 0.746
0.399 0.118 0.254
0.901 0.672 0.944
0.905 0.684 0.547
0.095 0.316 0.453
0.401 0.828 0.444
0.599 0.172 0.556
0.598 0.469 0.280
0.098 0.031 0.780
0.402 0.531 0.720
0.902 0.969 0.220
0.099 0.328 0.056
0.405 0.816 0.047
0.595 0.184 0.953
0.500 0.500 0.000
0.000 0.000 0.500
```

=====

# 9
A plane-wave DFT calculation with PBE was carried out for an optimized crystal structure of TbCd4Pt2.

Formation energy (eV/atom): -0.49
Electronic total energy (eV per atom): -3.40
SG: P4_2/mnm (136)
Fermi-level density of states (states/eV/f.u.): 2.60

Cell and atoms, written as POSCAR:
```
TbCd4Pt2
1.0
3.992 0.000 0.000
0.000 8.752 0.000
0.000 0.000 8.752
Pt Cd Tb
4 8 2
direct
0.500 0.671 0.671
0.000 0.171 0.829
0.000 0.829 0.171
0.500 0.329 0.329
0.500 0.402 0.838
0.000 0.662 0.902
0.000 0.338 0.098
0.500 0.838 0.402
0.500 0.598 0.162
0.500 0.162 0.598
0.000 0.902 0.662
0.000 0.098 0.338
0.000 0.500 0.500
0.500 0.000 0.000
```

=====

# 10
A plane-wave DFT calculation with PBE was carried out for an optimized crystal structure of Tb2CdPt3.

Formation energy (eV/atom): -0.97
Electronic total energy (eV per atom): -5.69
SG: Pnma (62)
Fermi-level density of states (states/eV/f.u.): 2.43

Cell and atoms, written as POSCAR:
```
Tb2CdPt3
1.0
3.856 0.000 0.000
0.000 7.470 0.000
0.000 0.000 17.460
Tb Pt Cd
8 12 4
direct
0.250 0.598 0.786
0.750 0.349 0.429
0.250 0.151 0.929
0.250 0.098 0.714
0.750 0.402 0.214
0.750 0.902 0.286
0.250 0.651 0.571
0.750 0.849 0.071
0.250 0.208 0.310
0.250 0.274 0.555
0.250 0.585 0.341
0.750 0.415 0.659
0.750 0.226 0.055
0.750 0.292 0.810
0.250 0.708 0.190
0.250 0.774 0.945
0.750 0.792 0.690
0.750 0.726 0.445
0.750 0.915 0.841
0.250 0.085 0.159
0.250 0.490 0.063
0.250 0.990 0.437
0.750 0.010 0.563
0.750 0.510 0.937
```

=====

# 11
A plane-wave DFT calculation with PBE was carried out for an optimized crystal structure of Tb5Cd2Pt2.

Formation energy (eV/atom): -0.69
Electronic total energy (eV per atom): -4.81
SG: Cmce (64)
Fermi-level density of states (states/eV/f.u.): 7.51

Cell and atoms, written as POSCAR:
```
Tb5Cd2Pt2
1.0
-0.641 3.864 6.658
-4.795 -5.428 2.689
8.636 -1.336 1.606
Pt Cd Tb
4 4 10
direct
0.868 0.369 0.000
0.132 0.631 0.000
0.632 0.869 0.000
0.368 0.131 0.000
0.000 0.216 0.432
0.000 0.784 0.568
0.500 0.716 0.432
0.500 0.284 0.568
0.328 0.706 0.761
0.500 0.500 0.000
0.000 0.000 0.000
0.828 0.555 0.761
0.328 0.945 0.239
0.828 0.794 0.239
0.172 0.445 0.239
0.172 0.206 0.761
0.672 0.294 0.239
0.672 0.055 0.761
```

=====

# 12
A plane-wave DFT calculation with PBE was carried out for an optimized crystal structure of TbCd3Pt8.

Formation energy (eV/atom): -0.49
Electronic total energy (eV per atom): -5.13
SG: R3m (160)
Fermi-level density of states (states/eV/f.u.): 11.87

Cell and atoms, written as POSCAR:
```
TbCd3Pt8
1.0
-1.782 3.695 3.501
-5.021 1.920 -0.429
-5.150 -4.493 6.273
Pt Cd Tb
8 3 1
direct
0.438 0.438 0.187
0.437 0.938 0.686
0.688 0.688 0.937
0.938 0.938 0.686
0.188 0.188 0.436
0.938 0.437 0.686
0.438 0.937 0.187
0.937 0.438 0.187
0.494 0.494 0.519
0.373 0.373 0.882
0.004 0.004 0.988
0.877 0.877 0.370
```

=====

# 13
A plane-wave DFT calculation with PBE was carried out for an optimized crystal structure of TbCdPt2.

Formation energy (eV/atom): -0.83
Electronic total energy (eV per atom): -5.24
SG: Fm-3m (225)
Fermi-level density of states (states/eV/f.u.): 1.75

Cell and atoms, written as POSCAR:
```
TbCdPt2
1.0
4.812 0.000 0.000
2.406 4.167 0.000
2.406 1.389 3.929
Cd Pt Tb
1 2 1
direct
0.250 0.250 0.250
0.000 0.000 0.000
0.500 0.500 0.500
0.750 0.750 0.750
```

=====

# 14
A plane-wave DFT calculation with PBE was carried out for an optimized crystal structure of Tb7Cd2Pt2.

Formation energy (eV/atom): -0.48
Electronic total energy (eV per atom): -4.69
SG: Cmmm (65)
Fermi-level density of states (states/eV/f.u.): 10.75

Cell and atoms, written as POSCAR:
```
Tb7Cd2Pt2
1.0
6.819 -0.003 -0.788
0.003 7.163 0.004
-1.211 -0.002 6.756
Tb Cd Pt
7 2 2
direct
0.500 0.746 0.000
0.000 0.746 0.500
0.500 0.751 0.500
0.000 0.254 0.500
0.500 0.254 0.000
0.000 0.000 0.000
0.500 0.249 0.500
0.174 0.500 0.174
0.826 0.500 0.826
0.288 0.000 0.712
0.712 0.000 0.288
```

=====

# 15
A plane-wave DFT calculation with PBE was carried out for an optimized crystal structure of Tb6CdPt.

Formation energy (eV/atom): -0.13
Electronic total energy (eV per atom): -4.48
SG: P-1 (2)
Fermi-level density of states (states/eV/f.u.): 12.36

Cell and atoms, written as POSCAR:
```
Tb6CdPt
1.0
-1.000 1.948 -6.677
3.071 -3.617 -5.237
-4.205 -4.241 -4.257
Tb Cd Pt
6 1 1
direct
0.776 0.039 0.753
0.042 0.427 0.754
0.573 0.221 0.247
0.224 0.961 0.247
0.958 0.573 0.246
0.427 0.779 0.753
0.500 0.500 0.500
0.000 0.000 0.000
```

=====

# 16
A plane-wave DFT calculation with PBE was carried out for an optimized crystal structure of Tb2Cd2Pt3.

Formation energy (eV/atom): -0.87
Electronic total energy (eV per atom): -5.04
SG: C2/m (12)
Fermi-level density of states (states/eV/f.u.): 3.07

Cell and atoms, written as POSCAR:
```
Tb2Cd2Pt3
1.0
-0.331 -2.739 -3.313
6.884 -2.446 1.335
-2.796 -1.459 4.290
Pt Tb Cd
3 2 2
direct
0.329 0.788 0.657
0.000 0.000 0.000
0.671 0.212 0.343
0.366 0.182 0.732
0.634 0.818 0.268
0.875 0.568 0.749
0.125 0.432 0.251
```

=====

# 17
A plane-wave DFT calculation with PBE was carried out for an optimized crystal structure of TbTlCdPt.

Formation energy (eV/atom): -0.48
Electronic total energy (eV per atom): -3.97
SG: F-43m (216)
Fermi-level density of states (states/eV/f.u.): 1.44

Cell and atoms, written as POSCAR:
```
TbTlCdPt
1.0
4.997 0.000 0.000
2.499 4.328 0.000
2.499 1.443 4.080
Pt Tl Tb Cd
1 1 1 1
direct
0.250 0.250 0.250
0.750 0.750 0.750
0.500 0.500 0.500
0.000 0.000 0.000
```

=====

# 18
A plane-wave DFT calculation with PBE was carried out for an optimized crystal structure of TbTmCdPt.

Formation energy (eV/atom): -0.73
Electronic total energy (eV per atom): -4.75
SG: F-43m (216)
Fermi-level density of states (states/eV/f.u.): 3.03

Cell and atoms, written as POSCAR:
```
TbTmCdPt
1.0
5.073 0.000 0.000
2.536 4.393 0.000
2.536 1.464 4.142
Tb Pt Tm Cd
1 1 1 1
direct
0.000 0.000 0.000
0.750 0.750 0.750
0.500 0.500 0.500
0.250 0.250 0.250
```

=====

# 19
A plane-wave DFT calculation with PBE was carried out for an optimized crystal structure of TbZn2CdPt2.

Formation energy (eV/atom): -0.68
Electronic total energy (eV per atom): -4.04
SG: P-3m1 (164)
Fermi-level density of states (states/eV/f.u.): 1.88

Cell and atoms, written as POSCAR:
```
TbZn2CdPt2
1.0
-3.343 0.483 2.899
0.814 -3.983 -1.815
4.041 -1.403 4.894
Pt Zn Tb Cd
2 2 1 1
direct
0.333 0.667 0.730
0.667 0.333 0.270
0.667 0.333 0.711
0.333 0.667 0.289
0.000 0.000 0.000
0.000 0.000 0.500
```

=====

# 20
A plane-wave DFT calculation with PBE was carried out for an optimized crystal structure of CdTcPt4.

Formation energy (eV/atom): 0.14
Electronic total energy (eV per atom): -5.77
SG: F-43m (216)
Fermi-level density of states (states/eV/f.u.): 3.02

Cell and atoms, written as POSCAR:
```
CdTcPt4
1.0
-2.661 3.333 3.135
-3.170 3.669 -2.124
-5.253 -0.443 0.480
Pt Tc Cd
4 1 1
direct
0.125 0.625 0.625
0.625 0.125 0.625
0.625 0.625 0.125
0.625 0.625 0.625
0.250 0.250 0.250
0.000 0.000 0.000
```